Entry one
CsInRe3 | GGA-PBE | relaxed

Cell: 5.1400 5.1400 5.1400 Å, 90.00 90.00 90.00°
Atoms (fractional coordinates):
Cs: 0.5000 0.5000 0.5000
Re: 0.0000 0.5000 0.0000
Re: 0.0000 0.0000 0.5000
Re: 0.5000 0.0000 0.0000
In: 0.0000 0.0000 0.0000

Results
- DOS at the Fermi energy (states/eV per atom) = 1.475

=====

Entry two
CsInRe3 | GGA-PBE | relaxed

Cell: 4.9815 4.9815 4.9815 Å, 90.00 90.00 90.00°
Atoms (fractional coordinates):
Cs: 0.0000 0.0000 0.0000
Re: 0.0000 0.5000 0.0000
Re: 0.0000 0.0000 0.5000
Re: 0.5000 0.0000 0.0000
In: 0.5000 0.5000 0.5000

Results
- DOS at the Fermi energy (states/eV per atom) = 1.057

=====

Most favorable first, least favorable last: entry one, entry two

=====

Entry one
CsIn2Rh | GGA-PBE | relaxed

Cell: 3.3872 3.3872 9.3129 Å, 90.00 90.00 90.00°
Atoms (fractional coordinates):
Cs: 0.5000 0.5000 0.5000
Rh: 0.5000 0.5000 0.0000
In: 0.0000 0.0000 0.8307
In: 0.0000 0.0000 0.1693

Results
- DOS at the Fermi energy (states/eV per atom) = 1.217

=====

Entry two
CsIn2Rh | GGA-PBE | relaxed

Cell: 6.7384 6.7384 8.9873 Å, 67.98 67.98 90.00°
Atoms (fractional coordinates):
Cs: 0.0000 0.0000 0.0000
Cs: 0.7500 0.2500 0.5000
Rh: 0.5000 0.5000 0.0000
Rh: 0.2500 0.7500 0.5000
In: 0.3756 0.1250 0.2500
In: 0.3744 0.6250 0.2500
In: 0.3750 0.6244 0.7500
In: 0.8750 0.6256 0.7500

Results
- DOS at the Fermi energy (states/eV per atom) = 0.119

=====

Most favorable first, least favorable last: entry one, entry two

=====

Entry one
CsZn2InRh | GGA-PBE | relaxed

Cell: 5.0916 5.0916 5.2026 Å, 90.00 90.00 90.00°
Atoms (fractional coordinates):
Cs: 0.5000 0.5000 0.5000
Zn: 0.0000 0.5000 0.0000
Zn: 0.5000 0.0000 0.0000
Rh: 0.0000 0.0000 0.0000
In: 0.0000 0.0000 0.5000

Results
- DOS at the Fermi energy (states/eV per atom) = 0.344

=====

Entry two
CsZn2InRh | GGA-PBE | relaxed

Cell: 6.2107 5.1013 6.2107 Å, 90.00 90.00 90.00°
Atoms (fractional coordinates):
Cs: 0.0000 0.0000 0.0000
Zn: 0.0000 0.0000 0.5000
Zn: 0.5000 0.0000 0.0000
Rh: 0.0000 0.5000 0.0000
In: 0.5000 0.5000 0.5000

Results
- DOS at the Fermi energy (states/eV per atom) = 1.324

=====

Most favorable first, least favorable last: entry one, entry two

=====

Entry one
CsIn3Ru | GGA-PBE | relaxed

Cell: 5.3110 5.3110 5.3110 Å, 90.00 90.00 90.00°
Atoms (fractional coordinates):
Cs: 0.5000 0.5000 0.5000
Ru: 0.0000 0.0000 0.0000
In: 0.0000 0.5000 0.0000
In: 0.0000 0.0000 0.5000
In: 0.5000 0.0000 0.0000

Results
- DOS at the Fermi energy (states/eV per atom) = 0.083

=====

Entry two
CsIn3Ru | GGA-PBE | relaxed

Cell: 6.2648 6.2648 6.2648 Å, 90.00 90.00 90.00°
Atoms (fractional coordinates):
Cs: 0.0000 0.0000 0.0000
Ru: 0.5000 0.5000 0.5000
In: 0.0000 0.5000 0.0000
In: 0.0000 0.0000 0.5000
In: 0.5000 0.0000 0.0000

Results
- DOS at the Fermi energy (states/eV per atom) = 1.883

=====

Most favorable first, least favorable last: entry one, entry two

=====

Entry one
Cs2InRu | GGA-PBE | relaxed

Cell: 6.1412 6.1412 6.1412 Å, 60.00 60.00 60.00°
Atoms (fractional coordinates):
Cs: 0.2500 0.2500 0.2500
Cs: 0.7500 0.7500 0.7500
Ru: 0.0000 0.0000 0.0000
In: 0.5000 0.5000 0.5000

Results
- DOS at the Fermi energy (states/eV per atom) = 2.565

=====

Entry two
Cs2InRu | GGA-PBE | relaxed

Cell: 9.3642 9.3642 9.3642 Å, 94.51 94.51 147.44°
Atoms (fractional coordinates):
Cs: 0.6250 0.3679 0.2429
Cs: 0.1250 0.3821 0.7571
Cs: 0.6321 0.8750 0.2571
Cs: 0.6179 0.3750 0.7429
In: 0.0000 0.0000 0.0000
In: 0.2500 0.7500 0.5000
Ru: 0.5000 0.5000 0.0000
Ru: 0.7500 0.2500 0.5000

Results
- DOS at the Fermi energy (states/eV per atom) = 0.968

=====

Most favorable first, least favorable last: entry two, entry one

=====

Entry one
CsIn2Ru | GGA-PBE | relaxed

Cell: 7.0227 7.0227 8.8580 Å, 66.65 66.65 90.00°
Atoms (fractional coordinates):
Cs: 0.0000 0.0000 0.0000
Cs: 0.7500 0.2500 0.5000
Ru: 0.5000 0.5000 0.0000
Ru: 0.2500 0.7500 0.5000
In: 0.3753 0.1250 0.2500
In: 0.3747 0.6250 0.2500
In: 0.3750 0.6247 0.7500
In: 0.8750 0.6253 0.7500

Results
- DOS at the Fermi energy (states/eV per atom) = 0.690

=====

Entry two
CsIn2Ru | GGA-PBE | relaxed

Cell: 5.3788 5.3788 5.3788 Å, 60.00 60.00 60.00°
Atoms (fractional coordinates):
Cs: 0.5000 0.5000 0.5000
Ru: 0.0000 0.0000 0.0000
In: 0.2500 0.2500 0.2500
In: 0.7500 0.7500 0.7500

Results
- DOS at the Fermi energy (states/eV per atom) = 0.823

=====

Most favorable first, least favorable last: entry one, entry two

=====

Entry one
CsIn3S | GGA-PBE | relaxed

Cell: 6.5184 6.5184 6.5184 Å, 90.00 90.00 90.00°
Atoms (fractional coordinates):
Cs: 0.0000 0.0000 0.0000
S: 0.5000 0.5000 0.5000
In: 0.0000 0.5000 0.0000
In: 0.0000 0.0000 0.5000
In: 0.5000 0.0000 0.0000

Results
- DOS at the Fermi energy (states/eV per atom) = 0.897

=====

Entry two
CsIn3S | GGA-PBE | relaxed

Cell: 5.8502 5.8502 5.8502 Å, 90.00 90.00 90.00°
Atoms (fractional coordinates):
Cs: 0.5000 0.5000 0.5000
S: 0.0000 0.0000 0.0000
In: 0.0000 0.5000 0.0000
In: 0.0000 0.0000 0.5000
In: 0.5000 0.0000 0.0000

Results
- DOS at the Fermi energy (states/eV per atom) = 0.729

=====

Most favorable first, least favorable last: entry two, entry one

=====

Entry one
CsIn3Sb | GGA-PBE | relaxed

Cell: 6.0957 6.0957 6.0957 Å, 90.00 90.00 90.00°
Atoms (fractional coordinates):
Cs: 0.5000 0.5000 0.5000
Sb: 0.0000 0.0000 0.0000
In: 0.0000 0.5000 0.0000
In: 0.0000 0.0000 0.5000
In: 0.5000 0.0000 0.0000

Results
- DOS at the Fermi energy (states/eV per atom) = 0.637

=====

Entry two
CsIn3Sb | GGA-PBE | relaxed

Cell: 5.4722 5.4800 6.9614 Å, 66.80 66.82 89.99°
Atoms (fractional coordinates):
Cs: 0.4057 0.2093 0.8933
In: 0.6571 0.9608 0.3910
In: 0.1570 0.4602 0.3918
In: 0.7659 0.5692 0.1743
Sb: 0.0222 0.8257 0.6608

Results
- DOS at the Fermi energy (states/eV per atom) = 0.392

=====

Most favorable first, least favorable last: entry two, entry one